(1)
First-principles (PBE) data for a geometry-optimized Ac12InIr6 structure, as listed in Alexandria.

Calculated values
ρ ... 10.34 g/cm3
ΔE_f ... -9.36 eV per formula unit
DOS(E_F) ... 0.92 states/eV per atom
Total magnetic moment ... 0.0 μB/f.u.

The structure in POSCAR format:
```
Ac12InIr6
1.0
9.409 0.000 0.000
-3.136 8.871 0.000
-3.136 -4.436 7.683
Ac In Ir
12 1 6
Direct
0.313 0.131 0.818
0.313 0.495 0.182
0.687 0.505 0.818
0.687 0.869 0.182
0.131 0.818 0.313
0.495 0.182 0.313
0.505 0.818 0.687
0.869 0.182 0.687
0.818 0.313 0.131
0.182 0.313 0.495
0.818 0.687 0.505
0.182 0.687 0.869
0.000 0.000 0.000
0.373 0.500 0.873
0.627 0.500 0.127
0.500 0.873 0.373
0.500 0.127 0.627
0.873 0.373 0.500
0.127 0.627 0.500
```

=====

(2)
First-principles (PBE) data for a geometry-optimized K4Hf2Be structure, as listed in Alexandria.

Calculated values
ρ ... 2.29 g/cm3
ΔE_f ... 10.08 eV per formula unit
DOS(E_F) ... 1.54 states/eV per atom
Total magnetic moment ... 1.8 μB/f.u.

The structure in POSCAR format:
```
K4Hf2Be
1.0
-4.200 5.132 1.172
-1.097 -2.319 6.226
3.737 5.986 6.530
Be K Hf
1 4 2
Direct
0.000 0.000 0.000
0.804 0.804 0.393
0.196 0.196 0.607
0.000 0.500 0.000
0.500 0.000 0.000
0.575 0.575 0.851
0.425 0.425 0.149
```

=====

(3)
First-principles (PBE) data for a geometry-optimized YZr2Os structure, as listed in Alexandria.

Calculated values
ΔE to the lowest computed polymorph ... 2.51 kcal/mol of atoms
ρ ... 8.54 g/cm3
ΔE_f ... -0.44 eV per formula unit
DOS(E_F) ... 1.57 states/eV per atom
Total magnetic moment ... 1.1 μB/f.u.

The structure in POSCAR format:
```
YZr2Os
1.0
-0.614 3.182 -0.623
-2.198 0.060 2.461
5.954 2.179 5.264
Os Y Zr
1 1 2
Direct
0.500 0.500 0.250
0.500 0.500 0.750
0.000 0.000 0.054
0.000 0.000 0.446
```

=====

(4)
First-principles (PBE) data for a geometry-optimized CaZn2GeN structure, as listed in Alexandria.

Calculated values
ρ ... 5.08 g/cm3
DOS(E_F) ... 0.17 states/eV per atom
E_form (uncorrected) ... -1.57 eV per formula unit
Total magnetic moment ... 0.0 μB/f.u.

The structure in POSCAR format:
```
CaZn2GeN
1.0
-1.969 1.902 2.312
-4.536 -3.301 -3.924
0.051 -5.475 4.547
Ca Zn Ge N
2 4 2 2
Direct
0.476 0.953 0.750
0.524 0.047 0.250
0.145 0.290 0.953
0.855 0.710 0.047
0.145 0.290 0.547
0.855 0.710 0.453
0.742 0.484 0.750
0.258 0.516 0.250
0.000 0.000 0.000
0.000 0.000 0.500
```

=====

(5)
First-principles (PBE) data for a geometry-optimized RbBaO2 structure, as listed in Alexandria.

Calculated values
ρ ... 5.39 g/cm3
DOS(E_F) ... 1.77 states/eV per atom
E_form (uncorrected) ... -5.57 eV per formula unit
Total magnetic moment ... 1.0 μB/f.u.

The structure in POSCAR format:
```
RbBaO2
1.0
-0.567 -3.585 3.149
2.012 0.286 4.354
-2.758 0.628 3.885
O Ba Rb
2 1 1
Direct
0.250 0.250 0.250
0.750 0.750 0.750
0.500 0.500 0.500
0.000 0.000 0.000
```

=====

(6)
First-principles (PBE) data for a geometry-optimized SrCuBr4 structure, as listed in Alexandria.

Calculated values
ΔE to the lowest computed polymorph ... 25.09 kcal/mol of atoms
ρ ... 4.17 g/cm3
DOS(E_F) ... 0.87 states/eV per atom
E_form (uncorrected) ... -0.26 eV per formula unit
Total magnetic moment ... 2.3 μB/f.u.

The structure in POSCAR format:
```
SrCuBr4
1.0
0.000 4.542 4.542
4.542 0.000 4.542
4.542 4.542 0.000
Sr Cu Br
1 1 4
Direct
0.000 0.000 0.000
0.750 0.750 0.750
0.874 0.375 0.375
0.375 0.375 0.874
0.375 0.874 0.375
0.375 0.375 0.375
```

=====

(7)
First-principles (PBE) data for a geometry-optimized GeRh2C structure, as listed in Alexandria.

Calculated values
ρ ... 9.55 g/cm3
ΔE_f ... 3.16 eV per formula unit
DOS(E_F) ... 0.92 states/eV per atom
Total magnetic moment ... 0.7 μB/f.u.

The structure in POSCAR format:
```
GeRh2C
1.0
0.000 2.934 2.934
2.934 0.000 2.934
2.934 2.934 0.000
Ge Rh C
1 2 1
Direct
0.500 0.500 0.500
0.250 0.250 0.250
0.750 0.750 0.750
0.000 0.000 0.000
```

=====

(8)
First-principles (PBE) data for a geometry-optimized MgGe3As structure, as listed in Alexandria.

Calculated values
ΔE to the lowest computed polymorph ... 4.69 kcal/mol of atoms
ρ ... 4.28 g/cm3
ΔE_f ... 4.10 eV per formula unit
DOS(E_F) ... 0.64 states/eV per atom
Total magnetic moment ... 0.0 μB/f.u.

The structure in POSCAR format:
```
MgGe3As
1.0
4.973 0.000 0.000
0.000 4.973 0.000
0.000 0.000 4.973
Mg As Ge
1 1 3
Direct
0.000 0.000 0.000
0.500 0.500 0.500
0.000 0.500 0.000
0.000 0.000 0.500
0.500 0.000 0.000
```

=====

(9)
First-principles (PBE) data for a geometry-optimized Mn2CdCl structure, as listed in Alexandria.

Calculated values
ΔE to the lowest computed polymorph ... 2.71 kcal/mol of atoms
ρ ... 5.59 g/cm3
DOS(E_F) ... 0.71 states/eV per atom
E_form (uncorrected) ... 0.49 eV per formula unit
Total magnetic moment ... 8.2 μB/f.u.

The structure in POSCAR format:
```
Mn2CdCl
1.0
3.124 0.000 0.000
0.000 3.213 -0.009
0.000 0.034 7.634
Cl Mn Cd
1 2 1
Direct
0.500 0.750 0.750
0.000 0.751 0.012
0.000 0.749 0.488
0.500 0.250 0.250
```

=====

(10)
First-principles (PBE) data for a geometry-optimized K4Ce3NiSe8 structure, as listed in Alexandria.

Calculated values
ρ ... 4.41 g/cm3
DOS(E_F) ... 0.96 states/eV per atom
E_form (uncorrected) ... -21.88 eV per formula unit
Total magnetic moment ... 3.3 μB/f.u.

The structure in POSCAR format:
```
K4Ce3NiSe8
1.0
8.417 0.000 0.000
0.000 9.085 0.383
-4.209 -4.256 6.060
K Ce Ni Se
4 3 1 8
Direct
0.500 0.000 0.000
0.500 0.000 0.500
0.000 0.000 0.000
0.000 0.000 0.500
0.500 0.500 0.000
0.500 0.500 0.500
0.000 0.500 0.500
0.000 0.500 0.000
0.217 0.692 0.971
0.238 0.709 0.477
0.264 0.288 0.527
0.754 0.692 0.971
0.246 0.308 0.029
0.736 0.712 0.473
0.762 0.291 0.523
0.783 0.308 0.029
```

=====

(11)
First-principles (PBE) data for a geometry-optimized LiTeHO4 structure, as listed in Alexandria.

Calculated values
ΔE to the lowest computed polymorph ... 0.30 kcal/mol of atoms
ρ ... 4.09 g/cm3
Total magnetic moment ... 0.0 μB/f.u.

The structure in POSCAR format:
```
LiTeHO4
1.0
-2.414 -2.356 -5.079
-3.961 -2.462 3.025
-4.234 2.959 0.640
Li Te H O
2 2 2 8
Direct
0.001 0.377 0.309
0.501 0.623 0.691
0.247 0.007 0.010
0.747 0.993 0.990
0.745 0.024 0.451
0.245 0.976 0.549
0.759 0.168 0.246
0.238 0.173 0.258
0.996 0.225 0.777
0.498 0.237 0.796
0.496 0.775 0.223
0.998 0.763 0.204
0.738 0.827 0.742
0.259 0.832 0.754
```

=====

(12)
First-principles (PBE) data for a geometry-optimized TiPtN2F structure, as listed in Alexandria.

Calculated values
ΔE to the lowest computed polymorph ... 0.00 kcal/mol of atoms
ρ ... 8.01 g/cm3
DOS(E_F) ... 0.57 states/eV per atom
E_form (uncorrected) ... -0.26 eV per formula unit
Total magnetic moment ... 0.0 μB/f.u.

The structure in POSCAR format:
```
TiPtN2F
1.0
-3.389 1.292 1.731
-2.036 -0.834 -3.363
-0.669 -3.439 1.258
N F Pt Ti
2 1 1 1
Direct
0.000 0.500 0.000
0.500 0.000 0.000
0.000 0.000 0.500
0.500 0.500 0.500
0.000 0.000 0.000
```

=====

(13)
First-principles (PBE) data for a geometry-optimized Tb2HoPt structure, as listed in Alexandria.

Calculated values
ΔE to the lowest computed polymorph ... 4.89 kcal/mol of atoms
ρ ... 9.40 g/cm3
ΔE_f ... -2.00 eV per formula unit
DOS(E_F) ... 1.21 states/eV per atom
Total magnetic moment ... 0.0 μB/f.u.

The structure in POSCAR format:
```
Tb2HoPt
1.0
-0.934 -1.165 3.614
1.710 -3.162 1.538
6.841 3.761 5.096
Tb Ho Pt
2 1 1
Direct
0.061 0.061 0.816
0.271 0.271 0.186
0.501 0.501 0.496
0.666 0.666 0.002
```

=====

(14)
First-principles (PBE) data for a geometry-optimized LaMgGa4 structure, as listed in Alexandria.

Calculated values
ΔE to the lowest computed polymorph ... 0.00 kcal/mol of atoms
ρ ... 5.60 g/cm3
ΔE_f ... -2.35 eV per formula unit
DOS(E_F) ... 0.25 states/eV per atom
Total magnetic moment ... 0.0 μB/f.u.

The structure in POSCAR format:
```
LaMgGa4
1.0
-0.527 -3.290 2.426
5.218 -4.217 -4.586
11.840 4.791 9.067
La Mg Ga
4 4 16
Direct
0.000 0.628 0.351
0.000 0.372 0.649
0.000 0.128 0.149
0.000 0.872 0.851
0.000 0.631 0.085
0.000 0.369 0.915
0.000 0.131 0.415
0.000 0.869 0.585
0.500 0.788 0.188
0.500 0.212 0.812
0.500 0.288 0.312
0.500 0.712 0.688
0.500 0.870 0.035
0.500 0.130 0.965
0.500 0.370 0.465
0.500 0.630 0.535
0.500 0.881 0.450
0.500 0.119 0.550
0.500 0.381 0.050
0.500 0.619 0.950
0.500 0.981 0.303
0.500 0.019 0.697
0.500 0.481 0.197
0.500 0.519 0.803
```

=====

(15)
First-principles (PBE) data for a geometry-optimized La3Sm8In4 structure, as listed in Alexandria.

Calculated values
ρ ... 6.89 g/cm3
ΔE_f ... 0.20 eV per formula unit
DOS(E_F) ... 1.45 states/eV per atom
Total magnetic moment ... 0.0 μB/f.u.

The structure in POSCAR format:
```
La3Sm8In4
1.0
11.895 -0.169 -0.243
-5.908 7.143 -0.696
-5.908 -3.132 6.457
La Sm In
3 8 4
Direct
0.500 0.500 0.000
0.500 0.000 0.500
0.500 0.500 0.500
0.757 0.397 0.397
0.000 0.745 0.255
0.874 0.123 0.123
0.500 0.761 0.239
0.500 0.239 0.761
0.126 0.877 0.877
0.000 0.255 0.745
0.243 0.603 0.603
0.500 0.000 0.000
0.000 0.500 0.000
0.000 0.000 0.000
0.000 0.000 0.500
```

=====

(16)
First-principles (PBE) data for a geometry-optimized Cs3IrBr8 structure, as listed in Alexandria.

Calculated values
ΔE to the lowest computed polymorph ... 4.26 kcal/mol of atoms
ρ ... 4.20 g/cm3
DOS(E_F) ... 0.06 states/eV per atom
E_form (uncorrected) ... -8.08 eV per formula unit
Total magnetic moment ... 0.0 μB/f.u.

The structure in POSCAR format:
```
Cs3IrBr8
1.0
-2.367 4.023 6.539
-7.360 0.759 -3.131
2.815 -8.871 1.541
Cs Ir Br
3 1 8
Direct
0.750 0.250 0.500
0.500 0.500 0.000
0.250 0.750 0.500
0.000 0.000 0.000
0.302 0.302 0.209
0.302 0.908 0.209
0.092 0.698 0.791
0.092 0.092 0.791
0.908 0.908 0.209
0.908 0.302 0.209
0.698 0.092 0.791
0.698 0.698 0.791
```

=====

(17)
First-principles (PBE) data for a geometry-optimized Tb5Er4Sc2 structure, as listed in Alexandria.

Calculated values
ΔE to the lowest computed polymorph ... 0.00 kcal/mol of atoms
ρ ... 7.69 g/cm3
ΔE_f ... 0.98 eV per formula unit
DOS(E_F) ... 1.59 states/eV per atom
Total magnetic moment ... 0.0 μB/f.u.

The structure in POSCAR format:
```
Tb5Er4Sc2
1.0
-0.910 -1.521 2.969
4.365 -7.074 -2.284
9.620 3.490 4.737
Tb Er Sc
5 4 2
Direct
0.000 0.428 0.301
0.000 0.808 0.165
0.000 0.500 0.000
0.000 0.192 0.835
0.000 0.572 0.699
0.500 0.271 0.554
0.500 0.840 0.882
0.500 0.729 0.446
0.500 0.160 0.118
0.000 0.943 0.633
0.000 0.057 0.367
```

=====

(18)
First-principles (PBE) data for a geometry-optimized Y5In2Ge2 structure, as listed in Alexandria.

Calculated values
ρ ... 5.66 g/cm3
ΔE_f ... -5.84 eV per formula unit
DOS(E_F) ... 0.74 states/eV per atom
Total magnetic moment ... 0.0 μB/f.u.

The structure in POSCAR format:
```
Y5In2Ge2
1.0
-6.281 4.641 0.660
-4.162 -6.014 2.690
-1.020 4.144 7.687
Y In Ge
10 4 4
Direct
0.000 0.000 0.000
0.500 0.500 0.000
0.451 0.172 0.748
0.801 0.828 0.748
0.301 0.672 0.748
0.951 0.328 0.748
0.549 0.828 0.252
0.199 0.172 0.252
0.699 0.328 0.252
0.049 0.672 0.252
0.216 0.000 0.568
0.716 0.500 0.568
0.784 0.000 0.432
0.284 0.500 0.432
0.132 0.365 0.000
0.868 0.635 0.000
0.368 0.865 0.000
0.632 0.135 0.000
```